A relaxed ZnIn2AuSe crystal, computed with PBE.

Calculated values
SG   P4/mmm
Electronic total energy   -2.434 eV/atom

Cell lengths 5.4518, 4.7072, 5.4518 Å; angles 90.00, 90.00, 90.00 degrees
With the nearest neighbours (Å) after each atom.
Element x y z (fractional)
1 Zn 0.0000 0.0000 0.0000  2 Se 2.35
2 Au 0.5000 0.5000 0.5000  8 In 3.60, 4 Se 3.86
3 In 0.5000 0.0000 0.0000  2 Zn 2.73
4 In 0.0000 0.0000 0.5000  2 Zn 2.73
5 Se 0.0000 0.5000 0.0000  2 Zn 2.35

***

A relaxed Zn2InAuSe crystal, computed with PBE.

Calculated values
SG   P4/mmm
Electronic total energy   -2.070 eV/atom

Cell lengths 4.9951, 5.1646, 4.9951 Å; angles 90.00, 90.00, 90.00 degrees
With the nearest neighbours (Å) after each atom.
Element x y z (fractional)
1 Au 0.0000 0.5000 0.0000  2 Se 2.58
2 In 0.5000 0.5000 0.5000  4 Au 3.53, 8 Zn 3.59
3 Zn 0.5000 0.0000 0.0000  2 Se 2.50
4 Se 0.0000 0.0000 0.0000  4 Zn 2.50, 2 Au 2.58
5 Zn 0.0000 0.0000 0.5000  2 Se 2.50

***

A relaxed ZrInAuSe2 crystal, computed with PBE.

Calculated values
SG   P4/mmm
Electronic total energy   -3.854 eV/atom

Cell lengths 5.2008, 5.1158, 5.2008 Å; angles 90.00, 90.00, 90.00 degrees
With the nearest neighbours (Å) after each atom.
Element x y z (fractional)
1 In 0.0000 0.0000 0.0000  2 Au 2.56, 4 Se 2.60
2 Se 0.5000 0.0000 0.0000  2 In 2.60
3 Zr 0.5000 0.5000 0.5000  8 Se 3.65, 4 Au 3.68
4 Au 0.0000 0.5000 0.0000  2 In 2.56
5 Se 0.0000 0.0000 0.5000  2 In 2.60

***

A relaxed ZrInAu2Se crystal, computed with PBE.

Calculated values
SG   P4/mmm
Electronic total energy   -3.692 eV/atom

Cell lengths 5.0847, 5.2284, 5.0847 Å; angles 90.00, 90.00, 90.00 degrees
With the nearest neighbours (Å) after each atom.
Element x y z (fractional)
1 Se 0.0000 0.5000 0.0000  2 In 2.61
2 Au 0.0000 0.0000 0.5000  2 In 2.54
3 Zr 0.5000 0.5000 0.5000  4 Se 3.60, 8 Au 3.65
4 In 0.0000 0.0000 0.0000  4 Au 2.54, 2 Se 2.61
5 Au 0.5000 0.0000 0.0000  2 In 2.54

***

A relaxed InSi4Au crystal, computed with PBE.

Calculated values
SG   F-43m
Electronic total energy   -4.115 eV/atom

Cell lengths 5.3230, 5.3230, 5.3230 Å; angles 60.00, 60.00, 60.00 degrees
With the nearest neighbours (Å) after each atom.
Element x y z (fractional)
1 In 0.0000 0.0000 0.0000  12 Si 3.12, 4 Au 3.26
2 Si 0.3747 0.8760 0.3747  6 Si 2.65-2.67
3 Si 0.3747 0.3747 0.3747  6 Si 2.65-2.67
4 Au 0.7500 0.7500 0.7500  12 Si 3.12, 4 In 3.26
5 Si 0.8760 0.3747 0.3747  6 Si 2.65-2.67
6 Si 0.3747 0.3747 0.8760  6 Si 2.65-2.67

***

A relaxed InSi2Au8 crystal, computed with PBE.

Calculated values
SG   C2/m
Electronic total energy   -3.636 eV/atom

Cell lengths 4.7744, 7.9649, 6.7574 Å; angles 53.89, 86.13, 83.43 degrees
With the nearest neighbours (Å) after each atom.
Element x y z (fractional)
1 Si 0.0000 0.6701 0.6599  8 Au 2.51-2.66
2 Au 0.1036 0.6762 0.2636  2 Si 2.59-2.66, 1 Au 2.88
3 Si 0.0000 0.3299 0.3401  8 Au 2.51-2.66
4 Au 0.1036 0.9398 0.7364  2 Si 2.59-2.66, 1 Au 2.88
5 Au 0.5000 0.7401 0.5197  2 Si 2.51
6 In 0.5000 0.0000 0.0000  8 Au 2.84-2.94
7 Au 0.8964 0.3238 0.7364  2 Si 2.59-2.66, 1 Au 2.88
8 Au 0.5000 0.2599 0.4803  2 Si 2.51
9 Au 0.3293 0.3635 0.0000  2 Si 2.59, 1 Au 2.86
10 Au 0.8964 0.0602 0.2636  2 Si 2.59-2.66, 1 Au 2.88
11 Au 0.6707 0.6365 0.0000  2 Si 2.59, 1 Au 2.86

***

A relaxed InSiAu3 crystal, computed with PBE.

Calculated values
SG   P2_1/c
Electronic total energy   -3.646 eV/atom
Energy above the most stable polymorph in this dataset   0 meV/atom

Cell lengths 5.7864, 6.0831, 11.8511 Å; angles 75.30, 90.00, 90.00 degrees
With the nearest neighbours (Å) after each atom.
Element x y z (fractional)
1 Au 0.6492 0.4945 0.9058  2 Si 2.61-2.73, 1 In 2.79, 2 Au 2.84-2.89
2 Si 0.9495 0.1194 0.5617  1 Si 2.38, 3 Au 2.53-2.61
3 Au 0.2833 0.0381 0.2387  2 Si 2.55-2.68, 2 Au 2.81-2.82
4 In 0.6622 0.5510 0.6648  6 Au 2.79-3.12
5 Au 0.7167 0.9619 0.7613  2 Si 2.55-2.68, 2 Au 2.81-2.82
6 Si 0.4495 0.8806 0.9383  1 Si 2.38, 3 Au 2.53-2.61
7 Au 0.9824 0.1913 0.0476  1 Si 2.53, 1 In 2.81, 3 Au 2.81-2.84
8 Au 0.1492 0.5055 0.5942  2 Si 2.61-2.73, 1 In 2.79, 2 Au 2.84-2.89
9 Si 0.0505 0.8806 0.4383  1 Si 2.38, 3 Au 2.53-2.61
10 Si 0.5505 0.1194 0.0617  1 Si 2.38, 3 Au 2.53-2.61
11 Au 0.8508 0.4945 0.4058  2 Si 2.61-2.73, 1 In 2.79, 2 Au 2.84-2.89
12 Au 0.4824 0.8087 0.4524  1 Si 2.53, 1 In 2.81, 3 Au 2.81-2.84
13 In 0.3378 0.4490 0.3352  6 Au 2.79-3.12
14 In 0.8378 0.5510 0.1648  6 Au 2.79-3.12
15 In 0.1622 0.4490 0.8352  6 Au 2.79-3.12
16 Au 0.7833 0.9619 0.2613  2 Si 2.55-2.68, 2 Au 2.81-2.82
17 Au 0.3508 0.5055 0.0942  2 Si 2.61-2.73, 1 In 2.79, 2 Au 2.84-2.89
18 Au 0.2167 0.0381 0.7387  2 Si 2.55-2.68, 2 Au 2.81-2.82
19 Au 0.0176 0.8087 0.9524  1 Si 2.53, 1 In 2.81, 3 Au 2.81-2.84
20 Au 0.5176 0.1913 0.5476  1 Si 2.53, 1 In 2.81, 3 Au 2.81-2.84

***

A relaxed In2SiAu4 crystal, computed with PBE.

Calculated values
SG   P2_1/m
Electronic total energy   -3.505 eV/atom

Cell lengths 6.5142, 5.7936, 8.4603 Å; angles 111.29, 90.00, 90.00 degrees
With the nearest neighbours (Å) after each atom.
Element x y z (fractional)
1 Au 0.5333 0.3736 0.6728  1 Si 2.42
2 In 0.7500 0.7872 0.6195  6 Au 2.81-2.98
3 Au 0.7500 0.0385 0.3684  1 Si 2.42
4 Au 0.9667 0.3736 0.6728  1 Si 2.42
5 Si 0.2500 0.6619 0.7697  4 Au 2.42-2.43
6 In 0.2500 0.2548 0.9901  5 Au 2.89-3.21
7 In 0.2500 0.2128 0.3805  6 Au 2.81-2.98
8 Au 0.4667 0.6264 0.3272  1 Si 2.42
9 Au 0.0333 0.6264 0.3272  1 Si 2.42
10 Au 0.2500 0.9615 0.6316  1 Si 2.42
11 Au 0.7500 0.2040 0.9226  1 Si 2.43
12 In 0.7500 0.7452 0.0099  5 Au 2.89-3.21
13 Au 0.2500 0.7960 0.0774  1 Si 2.43
14 Si 0.7500 0.3381 0.2303  4 Au 2.42-2.43

***

Q: Which value of electronic total energy does entry 3 give?
A: -3.854 eV/atom